First-principles (PBE) data for a relaxed structure of PmY3Th2Sb6, as listed in the Alexandria database.

Formation energy (no corrections): -1.093 eV/atom
Space-group type: No. 12

```
PmY3Th2Sb6
1.0
9.681 -2.229 0.000
9.681 2.229 0.000
-1.998 0.000 8.648
Pm Y Th Sb
1 3 2 6
Direct
0.000 0.000 0.000
0.000 0.000 0.500
0.334 0.334 0.167
0.666 0.666 0.833
0.335 0.335 0.669
0.665 0.665 0.331
0.165 0.165 0.587
0.168 0.168 0.078
0.498 0.498 0.254
0.502 0.502 0.746
0.832 0.832 0.922
0.835 0.835 0.413
```

=====

First-principles (PBE) data for a relaxed structure of Pm2YTh3Sb6, as listed in the Alexandria database.

Formation energy (no corrections): -1.052 eV/atom
Space-group type: No. 12

```
Pm2YTh3Sb6
1.0
9.769 -2.245 0.000
9.769 2.245 0.000
-2.027 0.000 8.713
Pm Y Th Sb
2 1 3 6
Direct
0.166 0.166 0.333
0.834 0.834 0.667
0.500 0.500 0.000
0.168 0.168 0.834
0.500 0.500 0.500
0.832 0.832 0.166
0.000 0.000 0.245
0.000 0.000 0.755
0.333 0.333 0.417
0.336 0.336 0.917
0.664 0.664 0.083
0.667 0.667 0.583
```

=====

First-principles (PBE) data for a relaxed structure of Pm3YTh2Sb6, as listed in the Alexandria database.

Formation energy (no corrections): -1.103 eV/atom
Space-group type: No. 12

```
Pm3YTh2Sb6
1.0
9.774 -2.245 0.000
9.774 2.245 0.000
-2.073 0.000 8.716
Pm Y Th Sb
3 1 2 6
Direct
0.000 0.000 0.000
0.333 0.333 0.666
0.667 0.667 0.334
0.000 0.000 0.500
0.335 0.335 0.169
0.665 0.665 0.831
0.165 0.165 0.581
0.167 0.167 0.084
0.499 0.499 0.745
0.501 0.501 0.255
0.833 0.833 0.916
0.835 0.835 0.419
```

=====

First-principles (PBE) data for a relaxed structure of PmTiSb3, as listed in the Alexandria database.

Formation energy (no corrections): -0.709 eV/atom
Space-group type: No. 57

```
PmTiSb3
1.0
13.222 0.000 0.000
0.000 6.319 0.000
0.000 0.000 6.190
Pm Ti Sb
4 4 12
Direct
0.185 0.008 0.250
0.185 0.492 0.750
0.815 0.508 0.250
0.815 0.992 0.750
0.409 0.750 0.000
0.409 0.750 0.500
0.591 0.250 0.000
0.591 0.250 0.500
0.002 0.750 0.000
0.002 0.750 0.500
0.273 0.504 0.250
0.273 0.996 0.750
0.428 0.111 0.250
0.428 0.389 0.750
0.572 0.611 0.250
0.572 0.889 0.750
0.727 0.004 0.250
0.727 0.496 0.750
0.998 0.250 0.000
0.998 0.250 0.500
```

=====

First-principles (PBE) data for a relaxed structure of Pm2TiSb, as listed in the Alexandria database.

Formation energy (no corrections): -0.329 eV/atom
Space-group type: No. 123

```
Pm2TiSb
1.0
5.019 0.000 0.000
0.000 5.019 0.000
0.000 0.000 4.264
Pm Ti Sb
2 1 1
Direct
0.000 0.500 0.000
0.500 0.000 0.000
0.000 0.000 0.500
0.500 0.500 0.500
```

=====

First-principles (PBE) data for a relaxed structure of PmTi2Sb, as listed in the Alexandria database.

Formation energy (no corrections): -0.193 eV/atom
Space-group type: No. 123

```
PmTi2Sb
1.0
4.540 0.000 0.000
0.000 4.540 0.000
0.000 0.000 4.132
Pm Ti Sb
1 2 1
Direct
0.000 0.000 0.000
0.000 0.500 0.500
0.500 0.000 0.500
0.500 0.500 0.000
```

=====

First-principles (PBE) data for a relaxed structure of Pm2TiSb, as listed in the Alexandria database.

Formation energy (no corrections): 0.190 eV/atom
Space-group type: No. 166

```
Pm2TiSb
1.0
1.693 0.977 11.501
-1.693 0.977 11.501
0.000 -1.955 11.501
Pm Ti Sb
2 1 1
Direct
0.093 0.093 0.093
0.907 0.907 0.907
0.500 0.500 0.500
0.000 0.000 0.000
```

=====

First-principles (PBE) data for a relaxed structure of Pm6Tl3Sb, as listed in the Alexandria database.

Formation energy (no corrections): -0.359 eV/atom
Space-group type: No. 11

```
Pm6Tl3Sb
1.0
11.909 0.000 0.000
0.000 3.991 0.000
-4.103 0.000 13.496
Pm Tl Sb
12 6 2
Direct
0.001 0.250 0.166
0.108 0.750 0.408
0.241 0.250 0.825
0.328 0.250 0.265
0.362 0.250 0.633
0.382 0.750 0.036
0.618 0.250 0.964
0.638 0.750 0.367
0.672 0.750 0.735
0.759 0.750 0.175
0.892 0.250 0.592
0.999 0.750 0.834
0.115 0.750 0.636
0.158 0.250 0.022
0.393 0.750 0.457
0.607 0.250 0.543
0.842 0.750 0.978
0.885 0.250 0.364
0.448 0.750 0.819
0.552 0.250 0.181
```

=====

First-principles (PBE) data for a relaxed structure of Pm2TlSb, as listed in the Alexandria database.

Formation energy (no corrections): -0.764 eV/atom
Space-group type: No. 63

```
Pm2TlSb
1.0
2.285 -12.385 0.000
2.285 12.385 0.000
0.000 0.000 4.485
Pm Tl Sb
4 2 2
Direct
0.064 0.936 0.750
0.315 0.685 0.750
0.685 0.315 0.250
0.936 0.064 0.250
0.456 0.544 0.750
0.544 0.456 0.250
0.188 0.812 0.750
0.812 0.188 0.250
```

=====

First-principles (PBE) data for a relaxed structure of Pm4Tl2Sb, as listed in the Alexandria database.

Formation energy (no corrections): -0.559 eV/atom
Space-group type: No. 122

```
Pm4Tl2Sb
1.0
-4.769 4.769 4.776
4.769 -4.769 4.776
4.769 4.769 -4.776
Pm Tl Sb
8 4 2
Direct
0.123 0.232 0.748
0.125 0.734 0.752
0.266 0.018 0.391
0.484 0.375 0.252
0.625 0.877 0.109
0.627 0.875 0.609
0.768 0.516 0.891
0.982 0.373 0.248
0.252 0.625 0.127
0.375 0.502 0.627
0.498 0.125 0.873
0.875 0.748 0.373
0.000 0.000 0.000
0.750 0.250 0.500
```